Material: AcLaSmHo
Method: DFT, GGA-PBE
State: relaxed

a = 5.9424 Å, b = 5.9424 Å, c = 5.9424 Å
α = 60.00°, β = 60.00°, γ = 60.00°
With the nearest neighbours (Å) after each atom.
Atoms (fractional coordinates):
Ac 0.0000 0.0000 0.0000  4 Sm 3.64, 4 La 3.64
La 0.2500 0.2500 0.2500  4 Ac 3.64, 4 Ho 3.64
Sm 0.7500 0.7500 0.7500  4 Ho 3.64, 4 Ac 3.64
Ho 0.5000 0.5000 0.5000  4 Sm 3.64, 4 La 3.64

- Fermi-level density of states: 9.3 states/eV per cell
- Total magnetization: 1.6 μB/cell
- Calculated total energy: -4.413 eV/atom
- Polymorph energy (0 for the lowest one): 65.6 meV/atom
- Energy relative to the elements: 66 kJ/mol of formula units
- Mass density: 7.62 Mg/m³